First-principles (PBE) data for an optimized crystal structure of RbBe2Se, as listed in Alexandria via LeMat-Bulk.

Lattice parameters (Å, degrees): 7.614 7.614 6.783 90.00 90.00 90.00
Space group I-42d (No. 122)
One atom of each set of equivalent atoms:
1 Rb 0.000 0.000 0.000 [4 per cell]
2 Be 0.140 0.750 0.625 [8 per cell]
3 Se 0.000 0.000 0.500 [4 per cell]

Output
E_form (uncorrected)	0.566	eV/atom